No. 1
The following is a DFT calculation (PBE-GGA) of an optimized crystal structure of LiTaBe2.

Properties
Total moment (Bohr magnetons per cell): 0.0
ΔE to the lowest computed polymorph (meV/atom): 82
DOS at the Fermi energy (states/eV per cell): 1.47
Energy of formation (eV/atom): 0.2136

POSCAR file:
```
LiTaBe2
1.0
4.7635 -1.2199 0.0000
4.7635 1.2199 0.0000
-1.3617 0.0000 4.4201
Li Ta Be
1 1 2
direct
0.0000 0.0000 0.0000 Li
0.8018 0.8018 0.3846 Ta
0.2414 0.2414 0.8528 Be
0.5531 0.5531 0.5291 Be
```

***

No. 2
The following is a DFT calculation (PBE-GGA) of an optimized crystal structure of Hf6TlIn2.

Properties
Total moment (Bohr magnetons per cell): 0.0
DOS at the Fermi energy (states/eV per cell): 16.27
Energy of formation (eV/atom): -0.0800

POSCAR file:
```
Hf6TlIn2
1.0
9.5479 0.0000 0.0000
0.0000 9.5479 0.0000
0.0000 0.0000 4.3933
Hf Tl In
12 2 4
direct
0.0018 0.3376 0.0000 Hf
0.1599 0.8401 0.5000 Hf
0.1624 0.5018 0.5000 Hf
0.3376 0.0018 0.0000 Hf
0.3401 0.3401 0.0000 Hf
0.4982 0.8376 0.5000 Hf
0.5018 0.1624 0.5000 Hf
0.6599 0.6599 0.0000 Hf
0.6624 0.9982 0.0000 Hf
0.8376 0.4982 0.5000 Hf
0.8401 0.1599 0.5000 Hf
0.9982 0.6624 0.0000 Hf
0.0000 0.0000 0.0000 Tl
0.5000 0.5000 0.5000 Tl
0.1786 0.1786 0.5000 In
0.3214 0.6786 0.0000 In
0.6786 0.3214 0.0000 In
0.8214 0.8214 0.5000 In
```

***

No. 3
The following is a DFT calculation (PBE-GGA) of an optimized crystal structure of Pr2Zr3Si4.

Properties
Total moment (Bohr magnetons per cell): 0.0
ΔE_f (raw) (eV/atom): -0.828
DOS at the Fermi energy (states/eV per cell): 15.56

POSCAR file:
```
Pr2Zr3Si4
1.0
7.4570 0.0000 0.0000
0.0000 7.4679 0.0000
-2.2633 0.0000 6.8929
Pr Zr Si
4 6 8
direct
0.1900 0.1699 0.0730 Pr
0.1900 0.3301 0.5730 Pr
0.8100 0.6699 0.4270 Pr
0.8100 0.8301 0.9270 Pr
0.2550 0.6779 0.2506 Zr
0.2550 0.8221 0.7506 Zr
0.5000 0.0000 0.5000 Zr
0.5000 0.5000 0.0000 Zr
0.7450 0.1779 0.2494 Zr
0.7450 0.3221 0.7494 Zr
0.0837 0.5361 0.8764 Si
0.0837 0.9639 0.3764 Si
0.4957 0.1221 0.8717 Si
0.4957 0.3779 0.3717 Si
0.5043 0.6221 0.6283 Si
0.5043 0.8779 0.1283 Si
0.9163 0.0361 0.6236 Si
0.9163 0.4639 0.1236 Si
```

***

No. 4
The following is a DFT calculation (PBE-GGA) of an optimized crystal structure of Er5Sc4Cd.

Properties
Total moment (Bohr magnetons per cell): 0.0
DOS at the Fermi energy (states/eV per cell): 15.72
Energy of formation (eV/atom): -0.0200

POSCAR file:
```
Er5Sc4Cd
1.0
3.4446 0.0000 0.0000
0.0000 3.4446 0.0000
0.0000 0.0000 22.8709
Er Sc Cd
5 4 1
direct
0.0000 0.0000 0.0000 Er
0.0000 0.0000 0.2031 Er
0.0000 0.0000 0.4061 Er
0.0000 0.0000 0.5939 Er
0.0000 0.0000 0.7969 Er
0.5000 0.5000 0.1017 Sc
0.5000 0.5000 0.3045 Sc
0.5000 0.5000 0.6955 Sc
0.5000 0.5000 0.8983 Sc
0.5000 0.5000 0.5000 Cd
```